The following is a DFT calculation (PBE-GGA) of a relaxed structure of TmCuGeTe3.

Computed properties:
calculated volume: 26.3 A^3/atom
magnetization: 0.00 Bohr magnetons per cell
VASP energy: -4.19 eV/atom
energy above the lowest structure with this stoichiometry: 40 meV/atom

abc: 12.0220 4.3023 12.2037
angles: 90.00 90.00 90.00
Last column: nearest neighbours and their distance in Å.
Positions (direct):
1 Tm 0.0235 0.2500 0.1879  7 Te 3.05-3.29
2 Tm 0.4765 0.7500 0.6879  7 Te 3.05-3.29
3 Tm 0.5235 0.2500 0.3121  7 Te 3.05-3.29
4 Tm 0.9765 0.7500 0.8121  7 Te 3.05-3.29
5 Cu 0.2379 0.7500 0.2931  4 Te 2.59-2.64
6 Cu 0.2621 0.2500 0.7931  4 Te 2.59-2.64
7 Cu 0.7379 0.7500 0.2069  4 Te 2.59-2.64
8 Cu 0.7621 0.2500 0.7069  4 Te 2.59-2.64
9 Ge 0.1741 0.2500 0.4982  5 Te 2.99-3.11
10 Ge 0.3259 0.7500 0.9982  5 Te 2.99-3.11
11 Ge 0.6741 0.2500 0.0018  5 Te 2.99-3.11
12 Ge 0.8259 0.7500 0.5018  5 Te 2.99-3.11
13 Te 0.0392 0.7500 0.3759  1 Cu 2.59
14 Te 0.1037 0.2500 0.9372  1 Cu 2.59
15 Te 0.2137 0.7500 0.6775  2 Cu 2.64
16 Te 0.2863 0.2500 0.1775  2 Cu 2.64
17 Te 0.3963 0.7500 0.4372  1 Cu 2.59
18 Te 0.4608 0.2500 0.8759  1 Cu 2.59
19 Te 0.5392 0.7500 0.1241  1 Cu 2.59
20 Te 0.6037 0.2500 0.5628  1 Cu 2.59
21 Te 0.7137 0.7500 0.8225  2 Cu 2.64
22 Te 0.7863 0.2500 0.3225  2 Cu 2.64
23 Te 0.8963 0.7500 0.0628  1 Cu 2.59
24 Te 0.9608 0.2500 0.6241  1 Cu 2.59

---

The following is a DFT calculation (PBE-GGA) of a relaxed structure of TmCuGeTe3.

Computed properties:
calculated volume: 26.6 A^3/atom
magnetization: 0.00 Bohr magnetons per cell
VASP energy: -4.23 eV/atom
energy above the lowest structure with this stoichiometry: 0 meV/atom

abc: 7.3750 7.3750 10.9449
angles: 90.00 90.00 147.61
Last column: nearest neighbours and their distance in Å.
Positions (direct):
1 Tm 0.0000 0.0000 0.0000  6 Te 3.04
2 Tm 0.0000 0.0000 0.5000  6 Te 3.04
3 Cu 0.4748 0.5252 0.7500  4 Te 2.64-2.66
4 Cu 0.5252 0.4748 0.2500  4 Te 2.64-2.66
5 Ge 0.2209 0.7791 0.2500  6 Te 3.03-3.33
6 Ge 0.7791 0.2209 0.7500  6 Te 3.03-3.33
7 Te 0.0943 0.9057 0.7500  2 Cu 2.66
8 Te 0.3512 0.6488 0.5691  1 Cu 2.64
9 Te 0.3512 0.6488 0.9309  1 Cu 2.64
10 Te 0.6488 0.3512 0.0691  1 Cu 2.64
11 Te 0.6488 0.3512 0.4309  1 Cu 2.64
12 Te 0.9057 0.0943 0.2500  2 Cu 2.66

---

The following is a DFT calculation (PBE-GGA) of a relaxed structure of TlCuGe2.

Computed properties:
calculated volume: 20.2 A^3/atom
VASP energy: -3.43 eV/atom

abc: 4.8534 4.8534 4.8534
angles: 60.00 60.00 60.00
Last column: nearest neighbours and their distance in Å.
Positions (direct):
1 Tl 0.0000 0.0000 0.0000  4 Cu 2.97, 4 Ge 2.97
2 Cu 0.2500 0.2500 0.2500  4 Ge 2.97, 4 Tl 2.97
3 Ge 0.5000 0.5000 0.5000  4 Ge 2.97, 4 Cu 2.97
4 Ge 0.7500 0.7500 0.7500  4 Ge 2.97, 4 Tl 2.97

---

> What is the calculated volume in the first record?

26.3 A^3/atom

---

> What is the calculated volume in the first record?

26.3 A^3/atom

---

> Number 2 is which compound?

TmCuGeTe3

---

Repeat the third record exactly.
The following is a DFT calculation (PBE-GGA) of a relaxed structure of TlCuGe2.

Computed properties:
calculated volume: 20.2 A^3/atom
VASP energy: -3.43 eV/atom

abc: 4.8534 4.8534 4.8534
angles: 60.00 60.00 60.00
Last column: nearest neighbours and their distance in Å.
Positions (direct):
1 Tl 0.0000 0.0000 0.0000  4 Cu 2.97, 4 Ge 2.97
2 Cu 0.2500 0.2500 0.2500  4 Ge 2.97, 4 Tl 2.97
3 Ge 0.5000 0.5000 0.5000  4 Ge 2.97, 4 Cu 2.97
4 Ge 0.7500 0.7500 0.7500  4 Ge 2.97, 4 Tl 2.97